# 1
VASP calculation (PBE-GGA) on a relaxed structure of FeIrS2.

Cell: 3.415 3.415 20.574 Å, 90.00 90.00 120.00°
Fractional positions:
1 Fe 0.000 0.000 0.000
2 Fe 0.333 0.667 0.667
3 Fe 0.667 0.333 0.333
4 Ir 0.000 0.000 0.500
5 Ir 0.333 0.667 0.167
6 Ir 0.667 0.333 0.833
7 S 0.000 0.000 0.103
8 S 0.000 0.000 0.897
9 S 0.333 0.667 0.563
10 S 0.333 0.667 0.770
11 S 0.667 0.333 0.230
12 S 0.667 0.333 0.437

Values from the calculation:
ρ in g/cm3: 7.486
Calculated total energy in eV per cell: -73.534
Symmetry: R-3m (166)
Crystal system: trigonal
Magnetization in μB/cell: 0.00
D(E_F) in states/eV/atom: 1.767
Formation energy from raw total energies in kcal/mol of atoms: 6.15

=====

# 2
VASP calculation (PBE-GGA) on a relaxed structure of Sr2SnOsN.

Cell: 5.560 5.560 3.828 Å, 90.00 90.00 90.00°
Fractional positions:
1 Sr 0.000 0.500 0.000
2 Sr 0.500 0.000 0.000
3 Sn 0.000 0.000 0.500
4 Os 0.500 0.500 0.500
5 N 0.500 0.500 0.000

Values from the calculation:
ρ in g/cm3: 6.992
Calculated total energy in eV per cell: -28.730
Symmetry: P4/mmm (123)
Crystal system: tetragonal
Magnetization in μB/cell: 0.00
D(E_F) in states/eV/atom: 0.482
Formation energy from raw total energies in kcal/mol of atoms: -8.34